LaSm2Dy4 | PBE | relaxed

V   34.21 A^3/atom
E_form   0.249 eV/atom
Spin magnetization   0.00 μB per formula unit
VASP energy   -31.0 eV per formula unit
Offset from the most stable computed form   0.29 eV/f.u.
Symmetry   I4/mmm (139)

Lattice parameters (Å, degrees): 4.582 4.582 11.858 101.14 101.14 90.00
Element x y z (fractional)
Sm1 0.398 0.398 0.796
Sm2 0.602 0.602 0.204
Dy1 0.750 0.250 0.500
Dy2 0.859 0.859 0.718
Dy3 0.250 0.750 0.500
Dy4 0.141 0.141 0.282
La1 0.000 0.000 0.000


CdFe3Pd12 | PBE | relaxed

V   15.15 A^3/atom
E_form   -0.134 eV/atom
Spin magnetization   13.06 μB per formula unit
VASP energy   -90.8 eV per formula unit
Symmetry   P4/mmm (123)

Lattice parameters (Å, degrees): 3.932 3.932 15.677 90.00 90.00 90.00
Each line ends with the local moment (μB).
Element x y z (fractional)
Fe1 0.000 0.000 0.748  3.30
Fe2 0.000 0.000 0.500  3.31
Fe3 0.000 0.000 0.252  3.30
Pd1 0.500 0.500 0.256  0.31
Pd2 0.500 0.000 0.865  0.23
Pd3 0.500 0.000 0.622  0.34
Pd4 0.500 0.500 0.744  0.31
Pd5 0.500 0.500 0.000  0.09
Pd6 0.000 0.500 0.622  0.34
Pd7 0.500 0.500 0.500  0.34
Pd8 0.000 0.500 0.135  0.23
Pd9 0.000 0.500 0.378  0.34
Pd10 0.500 0.000 0.378  0.34
Pd11 0.000 0.500 0.865  0.23
Pd12 0.500 0.000 0.135  0.23
Cd1 0.000 0.000 0.000  -0.01


RbTcO6 | PBE | relaxed

V   17.40 A^3/atom
E_form (uncorrected)   -3.3 eV/f.u.
Spin magnetization   4.00 μB per formula unit
VASP energy   -44.3 eV per formula unit
Symmetry   R-3m (166)

Lattice parameters (Å, degrees): 5.209 5.209 5.209 95.57 95.57 95.57
Each line ends with the local moment (μB).
Element x y z (fractional)
O1 0.750 0.412 0.750  0.62
O2 0.250 0.588 0.250  0.62
O3 0.412 0.750 0.750  0.62
O4 0.588 0.250 0.250  0.62
O5 0.250 0.250 0.588  0.62
O6 0.750 0.750 0.412  0.62
Tc1 0.500 0.500 0.500  -0.46
Rb1 0.000 0.000 0.000  0.00


Tb5AlCo2 | PBE | relaxed

V   23.91 A^3/atom
E_form   -0.207 eV/atom
Spin magnetization   0.00 μB per formula unit
VASP energy   -42.8 eV per formula unit
Symmetry   I4/mcm (140)

Lattice parameters (Å, degrees): 7.616 7.616 8.516 116.56 116.56 90.00
Element x y z (fractional)
Tb1 0.298 0.798 0.270
Tb2 0.202 0.028 0.730
Tb3 0.472 0.298 0.270
Tb4 0.528 0.702 0.730
Tb5 0.798 0.972 0.270
Tb6 0.972 0.472 0.270
Tb7 0.000 0.000 0.000
Tb8 0.028 0.528 0.730
Tb9 0.702 0.202 0.730
Tb10 0.500 0.500 0.000
Al1 0.250 0.250 0.500
Al2 0.750 0.750 0.500
Co1 0.631 0.131 0.000
Co2 0.869 0.631 0.000
Co3 0.369 0.869 0.000
Co4 0.131 0.369 0.000


BaHS2N | PBE | relaxed

V   44.67 A^3/atom
Spin magnetization   6.00 μB per formula unit
VASP energy   -15.2 eV per formula unit
Offset from the most stable computed form   4.71 eV/f.u.
Symmetry   P4/mmm (123)

Lattice parameters (Å, degrees): 6.339 6.339 5.559 90.00 90.00 90.00
Each line ends with the local moment (μB).
Element x y z (fractional)
H1 0.500 0.500 0.500  0.38
S1 0.000 0.500 0.000  0.73
S2 0.500 0.000 0.000  0.73
N1 0.000 0.000 0.500  1.54
Ba1 0.000 0.000 0.000  0.00


AcMgAs2Pt5 | PBE | relaxed

V   21.25 A^3/atom
E_form   -0.581 eV/atom
Spin magnetization   0.00 μB per formula unit
VASP energy   -50.4 eV per formula unit
Symmetry   P4/mmm (123)

Lattice parameters (Å, degrees): 4.336 4.336 10.173 90.00 90.00 90.00
Element x y z (fractional)
Pt1 0.500 0.500 0.500
Pt2 0.000 0.500 0.846
Pt3 0.500 0.000 0.846
Pt4 0.000 0.500 0.154
Pt5 0.500 0.000 0.154
Ac1 0.000 0.000 0.500
As1 0.500 0.500 0.265
As2 0.500 0.500 0.735
Mg1 0.000 0.000 0.000


MgZrHgTe2 | PBE | relaxed

V   30.45 A^3/atom
E_form (uncorrected)   1.4 eV/f.u.
Spin magnetization   1.98 μB per formula unit
VASP energy   -15.3 eV per formula unit
Symmetry   P4/mmm (123)

Lattice parameters (Å, degrees): 5.520 4.997 5.520 90.00 90.00 90.00
Each line ends with the local moment (μB).
Element x y z (fractional)
Te1 0.000 0.000 0.500  -0.05
Te2 0.500 0.000 0.000  -0.05
Hg1 0.000 0.500 0.000  0.05
Zr1 0.500 0.500 0.500  1.30
Mg1 0.000 0.000 0.000  0.01


Y2MnIr | PBE | relaxed

V   21.51 A^3/atom
E_form   -0.288 eV/atom
Spin magnetization   3.12 μB per formula unit
VASP energy   -32.1 eV per formula unit
Symmetry   Pmmm (47)

Lattice parameters (Å, degrees): 3.535 3.495 7.790 63.35 90.00 90.00
Each line ends with the local moment (μB).
Element x y z (fractional)
Ir1 0.500 0.250 0.250  -0.03
Y1 0.000 0.986 0.014  -0.13
Y2 0.000 0.514 0.486  -0.13
Mn1 0.500 0.750 0.750  3.50